Here is Pr2CoO after structural relaxation from Alexandria via LeMat-Bulk. Energies are from GGA+U.

Cell and atoms, written as POSCAR:
```
Pr2CoO
1.0
1.8612 1.0745 7.0926
-1.8612 1.0745 7.0926
0.0000 -2.1491 7.0926
Pr Co O
2 1 1
direct
0.2351 0.2351 0.2351 Pr
0.7649 0.7649 0.7649 Pr
0.0000 0.0000 0.0000 Co
0.5000 0.5000 0.5000 O
```

Values from the calculation:
Uncorrected energy (hartree per atom): -0.21709